TiNi3Sn2P6O24: relaxed, GGA+U.

POSCAR file:
```
TiNi3Sn2P6O24
1.0
-6.670 4.076 -3.350
-7.001 0.923 4.739
-1.929 7.744 2.939
O Sn P Ni Ti
24 2 6 3 1
direct
0.313 0.106 0.522
0.824 0.989 0.612
0.522 0.313 0.106
0.929 0.755 0.089
0.487 0.675 0.899
0.248 0.447 0.597
0.106 0.522 0.313
0.089 0.929 0.755
0.991 0.401 0.173
0.899 0.487 0.675
0.070 0.250 0.903
0.173 0.991 0.401
0.750 0.570 0.402
0.402 0.750 0.570
0.989 0.612 0.824
0.570 0.402 0.750
0.903 0.070 0.250
0.447 0.597 0.248
0.597 0.248 0.447
0.675 0.899 0.487
0.612 0.824 0.989
0.755 0.089 0.929
0.401 0.173 0.991
0.250 0.903 0.070
0.502 0.502 0.502
0.002 0.002 0.002
0.546 0.249 0.956
0.747 0.046 0.451
0.956 0.546 0.249
0.046 0.451 0.747
0.249 0.956 0.546
0.451 0.747 0.046
0.646 0.646 0.646
0.149 0.149 0.149
0.353 0.353 0.353
0.850 0.850 0.850
```

Values from the calculation:
raw total energy = -245.2 eV per cell
crystal system = trigonal
size of the total moment = 0.16 μB per atom